# LiCa2Te | Alexandria via LeMat-Bulk | PBE-GGA | optimized geometry
# Crystal system: monoclinic
# Formation energy without anion corrections (eV per atom): -0.62
data_LiCa2Te
_chemical_formula_sum 'Li2 Ca4 Te2'
_symmetry_space_group_name_H-M 'C 1 2/m 1'
_symmetry_Int_Tables_number 12
_cell_length_a 7.374
_cell_length_b 4.267
_cell_length_c 9.282
_cell_angle_alpha 90.00
_cell_angle_beta 105.46
_cell_angle_gamma 90.00
loop_
_symmetry_equiv_pos_as_xyz
'x,y,z'
'-x,-y,-z'
'-x,y,-z'
'x,-y,z'
'x+1/2,y+1/2,z'
'-x+1/2,-y+1/2,-z'
'-x+1/2,y+1/2,-z'
'x+1/2,-y+1/2,z'
loop_
_atom_site_label
_atom_site_type_symbol
_atom_site_fract_x
_atom_site_fract_y
_atom_site_fract_z
Li1 Li 0.000 0.000 0.000
Ca1 Ca 0.239 0.000 0.717
Te1 Te 0.000 0.500 0.500

# Pm5MgIn6 | Alexandria via LeMat-Bulk | PBE-GGA | optimized geometry
# Crystal system: monoclinic
# Formation energy (meV/atom): -434
data_Pm5MgIn6
_chemical_formula_sum 'Pm10 Mg2 In12'
_symmetry_space_group_name_H-M 'C 1 2/m 1'
_symmetry_Int_Tables_number 12
_cell_length_a 17.012
_cell_length_b 7.675
_cell_length_c 5.355
_cell_angle_alpha 90.00
_cell_angle_beta 108.22
_cell_angle_gamma 90.00
loop_
_symmetry_equiv_pos_as_xyz
'x,y,z'
'-x,-y,-z'
'-x,y,-z'
'x,-y,z'
'x+1/2,y+1/2,z'
'-x+1/2,-y+1/2,-z'
'-x+1/2,y+1/2,-z'
'x+1/2,-y+1/2,z'
loop_
_atom_site_label
_atom_site_type_symbol
_atom_site_fract_x
_atom_site_fract_y
_atom_site_fract_z
Pm1 Pm 0.000 0.000 0.000
Pm2 Pm 0.166 0.000 0.666
Pm3 Pm 0.166 0.500 0.666
Mg1 Mg 0.000 0.500 0.000
In1 In 0.000 0.263 0.500
In2 In 0.161 0.258 0.161

# TaCuAs2 | Alexandria via LeMat-Bulk | PBE-GGA | optimized geometry
# Crystal system: orthorhombic
# Formation energy (meV/atom): 45
data_TaCuAs2
_chemical_formula_sum 'Ta2 Cu2 As4'
_symmetry_space_group_name_H-M 'C m m 2'
_symmetry_Int_Tables_number 35
_cell_length_a 3.692
_cell_length_b 4.354
_cell_length_c 9.436
_cell_angle_alpha 90.00
_cell_angle_beta 90.00
_cell_angle_gamma 90.00
loop_
_symmetry_equiv_pos_as_xyz
'x,y,z'
'-x,-y,z'
'-x,y,z'
'x,-y,z'
'x+1/2,y+1/2,z'
'-x+1/2,-y+1/2,z'
'-x+1/2,y+1/2,z'
'x+1/2,-y+1/2,z'
loop_
_atom_site_label
_atom_site_type_symbol
_atom_site_fract_x
_atom_site_fract_y
_atom_site_fract_z
Ta1 Ta 0.000 0.000 0.000
Cu1 Cu 0.000 0.500 0.795
As1 As 0.000 0.000 0.610
As2 As 0.000 0.500 0.215